Record 1
Here is an optimized crystal structure of Y2Co from the Open Quantum Materials Database. Energies are from PBE.

abc: 8.405 8.405 8.405
angles: 90.00 90.00 90.00
Space group Fd-3m (No. 227, origin choice 2)
Inequivalent atoms, fractional coordinates:
Y 0.000 0.000 0.000 [16 per cell]
Co 0.125 0.125 0.625 [8 per cell]

Values from the calculation:
Total magnetization in Bohr magnetons per cell: 0.00
Energy of formation from the pure elements in meV/atom: 1178.3

Record 2
Here is an optimized crystal structure of PmHoSb from the Open Quantum Materials Database. Energies are from PBE.

abc: 7.244 7.244 7.244
angles: 90.00 90.00 90.00
Space group F-43m (No. 216)
Inequivalent atoms, fractional coordinates:
Pm 0.000 0.000 0.000 [4 per cell]
Ho 0.000 0.000 0.500 [4 per cell]
Sb 0.250 0.250 0.750 [4 per cell]

Values from the calculation:
Total magnetization in Bohr magnetons per cell: 0.07
Calculated total energy in eV/atom: -5.048

Record 3
Here is an optimized crystal structure of Hf4AsC2Se from the Open Quantum Materials Database. Energies are from PBE.

abc: 3.4273 3.4273 12.5231
angles: 90.00 90.00 120.00
Space group P-6m2 (No. 187)
Inequivalent atoms, fractional coordinates:
Hf 0.0000 0.0000 0.1523 [2 per cell]
Hf 0.6667 0.3333 0.3452 [2 per cell]
As 0.6667 0.3333 0.0000 [1 per cell]
C 0.3333 0.6667 0.2504 [2 per cell]
Se 0.0000 0.0000 0.5000 [1 per cell]

Values from the calculation:
Total magnetization in Bohr magnetons per cell: 0.00
Calculated total energy in eV/atom: -9.379